(1)
# PBE CoNi2P, relaxed
data_CoNi2P
_space_group_name_H-M_alt 'C m m m'
_space_group_IT_number 65
_space_group_name_Hall '-C 2 2'
_cell_length_a 4.735
_cell_length_b 6.922
_cell_length_c 2.665
_cell_angle_alpha 90.00
_cell_angle_beta 90.00
_cell_angle_gamma 90.00
loop_
_atom_site_label
_atom_site_type_symbol
_atom_site_fract_x
_atom_site_fract_y
_atom_site_fract_z
_atom_site_occupancy
Co1 Co 0.000 0.000 0.000 1
Ni1 Ni 0.250 0.250 0.500 1
P1 P 0.000 0.500 0.000 1
# Energy relative to the elements   -0.086 eV per atom
# DOS at the Fermi energy   7.998 states/eV/cell

(2)
# PBE CoNiP, relaxed
data_CoNiP
_space_group_name_H-M_alt 'I 4 m m'
_space_group_IT_number 107
_space_group_name_Hall 'I 4 -2'
_cell_length_a 2.751
_cell_length_b 2.751
_cell_length_c 8.640
_cell_angle_alpha 90.00
_cell_angle_beta 90.00
_cell_angle_gamma 90.00
loop_
_atom_site_label
_atom_site_type_symbol
_atom_site_fract_x
_atom_site_fract_y
_atom_site_fract_z
_atom_site_occupancy
Co1 Co 0.000 0.000 0.000 1
Ni1 Ni 0.000 0.000 0.710 1
P1 P 0.000 0.000 0.364 1
# Energy relative to the elements   -0.197 eV per atom
# DOS at the Fermi energy   4.348 states/eV/cell

(3)
# PBE CoNi5P3, relaxed
data_CoNi5P3
_space_group_name_H-M_alt 'C m c m'
_space_group_IT_number 63
_space_group_name_Hall '-C 2c 2'
_cell_length_a 2.702
_cell_length_b 12.281
_cell_length_c 12.520
_cell_angle_alpha 90.00
_cell_angle_beta 90.00
_cell_angle_gamma 90.00
loop_
_atom_site_label
_atom_site_type_symbol
_atom_site_fract_x
_atom_site_fract_y
_atom_site_fract_z
_atom_site_occupancy
Co1 Co 0.000 0.196 0.250 1
Ni1 Ni 0.000 0.000 0.000 1
Ni2 Ni 0.000 0.199 0.571 1
Ni3 Ni 0.000 0.458 0.155 1
P1 P 0.000 0.153 0.750 1
P2 P 0.000 0.374 0.589 1
# Energy relative to the elements   -0.205 eV per atom
# DOS at the Fermi energy   26.574 states/eV/cell

(4)
# PBE Co2Ni2P, relaxed
data_Co2Ni2P
_space_group_name_H-M_alt 'I 4/m m m'
_space_group_IT_number 139
_space_group_name_Hall '-I 4 2'
_cell_length_a 3.112
_cell_length_b 3.112
_cell_length_c 12.693
_cell_angle_alpha 90.00
_cell_angle_beta 90.00
_cell_angle_gamma 90.00
loop_
_atom_site_label
_atom_site_type_symbol
_atom_site_fract_x
_atom_site_fract_y
_atom_site_fract_z
_atom_site_occupancy
Co1 Co 0.000 0.500 0.250 1
Ni1 Ni 0.000 0.000 0.094 1
P1 P 0.000 0.000 0.500 1
# Energy relative to the elements   0.301 eV per atom
# DOS at the Fermi energy   9.413 states/eV/cell
# Distance to the lowest polymorph of the same formula   323 meV/atom

(5)
# PBE CoNi2P, relaxed
data_CoNi2P
_space_group_name_H-M_alt 'I 4/m m m'
_space_group_IT_number 139
_space_group_name_Hall '-I 4 2'
_cell_length_a 3.466
_cell_length_b 3.466
_cell_length_c 7.155
_cell_angle_alpha 90.00
_cell_angle_beta 90.00
_cell_angle_gamma 90.00
loop_
_atom_site_label
_atom_site_type_symbol
_atom_site_fract_x
_atom_site_fract_y
_atom_site_fract_z
_atom_site_occupancy
Co1 Co 0.000 0.000 0.000 1
Ni1 Ni 0.000 0.500 0.250 1
P1 P 0.000 0.000 0.500 1
# Energy relative to the elements   -0.137 eV per atom
# DOS at the Fermi energy   10.191 states/eV/cell

(6)
# PBE Co2NiP8, relaxed
data_Co2NiP8
_space_group_name_H-M_alt 'C 1 2/m 1'
_space_group_IT_number 12
_cell_length_a 12.559
_cell_length_b 6.675
_cell_length_c 4.182
_cell_angle_alpha 90.00
_cell_angle_beta 92.70
_cell_angle_gamma 90.00
loop_
_space_group_symop_operation_xyz
'x,y,z'
'-x,-y,-z'
'-x,y,-z'
'x,-y,z'
'x+1/2,y+1/2,z'
'-x+1/2,-y+1/2,-z'
'-x+1/2,y+1/2,-z'
'x+1/2,-y+1/2,z'
loop_
_atom_site_label
_atom_site_type_symbol
_atom_site_fract_x
_atom_site_fract_y
_atom_site_fract_z
_atom_site_occupancy
Co1 Co 0.169 0.000 0.256 1
Ni1 Ni 0.000 0.500 0.500 1
P1 P 0.069 0.265 0.178 1
P2 P 0.158 0.500 0.913 1
P3 P 0.199 0.000 0.755 1
# Energy relative to the elements   -0.099 eV per atom
# DOS at the Fermi energy   7.679 states/eV/cell

(7)
# PBE CoNi2P8, relaxed
data_CoNi2P8
_space_group_name_H-M_alt 'C 1 2/m 1'
_space_group_IT_number 12
_cell_length_a 12.187
_cell_length_b 6.400
_cell_length_c 4.156
_cell_angle_alpha 90.00
_cell_angle_beta 95.22
_cell_angle_gamma 90.00
loop_
_space_group_symop_operation_xyz
'x,y,z'
'-x,-y,-z'
'-x,y,-z'
'x,-y,z'
'x+1/2,y+1/2,z'
'-x+1/2,-y+1/2,-z'
'-x+1/2,y+1/2,-z'
'x+1/2,-y+1/2,z'
loop_
_atom_site_label
_atom_site_type_symbol
_atom_site_fract_x
_atom_site_fract_y
_atom_site_fract_z
_atom_site_occupancy
Co1 Co 0.000 0.000 0.000 1
Ni1 Ni 0.211 0.500 0.985 1
P1 P 0.091 0.500 0.536 1
P2 P 0.127 0.223 0.235 1
P3 P 0.140 0.000 0.654 1
# Energy relative to the elements   -0.098 eV per atom
# DOS at the Fermi energy   10.649 states/eV/cell

(8)
# PBE CoNiP, relaxed
data_CoNiP
_space_group_name_H-M_alt 'F -4 3 m'
_space_group_IT_number 216
_space_group_name_Hall 'F -4 2 3'
_cell_length_a 5.331
_cell_length_b 5.331
_cell_length_c 5.331
_cell_angle_alpha 90.00
_cell_angle_beta 90.00
_cell_angle_gamma 90.00
loop_
_atom_site_label
_atom_site_type_symbol
_atom_site_fract_x
_atom_site_fract_y
_atom_site_fract_z
_atom_site_occupancy
Co1 Co 0.000 0.000 0.000 1
Ni1 Ni 0.250 0.250 0.750 1
P1 P 0.000 0.000 0.500 1
# Energy relative to the elements   -0.015 eV per atom
# DOS at the Fermi energy   21.369 states/eV/cell

(9)
# PBE Co2Ni2P, relaxed
data_Co2Ni2P
_space_group_name_H-M_alt 'P 4/m b m'
_space_group_IT_number 127
_space_group_name_Hall '-P 4 2ab'
_cell_length_a 5.613
_cell_length_b 5.613
_cell_length_c 3.757
_cell_angle_alpha 90.00
_cell_angle_beta 90.00
_cell_angle_gamma 90.00
loop_
_atom_site_label
_atom_site_type_symbol
_atom_site_fract_x
_atom_site_fract_y
_atom_site_fract_z
_atom_site_occupancy
Co1 Co 0.153 0.347 0.000 1
Ni1 Ni 0.148 0.648 0.500 1
P1 P 0.000 0.000 0.500 1
# Energy relative to the elements   0.057 eV per atom
# DOS at the Fermi energy   10.709 states/eV/cell
# Distance to the lowest polymorph of the same formula   79 meV/atom

(10)
# PBE CoNi2P, relaxed
data_CoNi2P
_space_group_name_H-M_alt 'P 1 2/m 1'
_space_group_IT_number 10
_cell_length_a 2.649
_cell_length_b 3.681
_cell_length_c 4.710
_cell_angle_alpha 90.00
_cell_angle_beta 105.01
_cell_angle_gamma 90.00
loop_
_space_group_symop_operation_xyz
'x,y,z'
'-x,-y,-z'
'-x,y,-z'
'x,-y,z'
loop_
_atom_site_label
_atom_site_type_symbol
_atom_site_fract_x
_atom_site_fract_y
_atom_site_fract_z
_atom_site_occupancy
Co1 Co 0.000 0.000 0.000 1
Ni1 Ni 0.361 0.500 0.736 1
P1 P 0.000 0.000 0.500 1
# Energy relative to the elements   -0.143 eV per atom
# DOS at the Fermi energy   5.436 states/eV/cell

(11)
# PBE CoNi2P, relaxed
data_CoNi2P
_space_group_name_H-M_alt 'R -3 m'
_space_group_IT_number 166
_space_group_name_Hall '-R 3 2"'
_cell_length_a 2.6120
_cell_length_b 2.6120
_cell_length_c 22.7801
_cell_angle_alpha 90.00
_cell_angle_beta 90.00
_cell_angle_gamma 120.00
loop_
_atom_site_label
_atom_site_type_symbol
_atom_site_fract_x
_atom_site_fract_y
_atom_site_fract_z
_atom_site_occupancy
Co1 Co 0.0000 0.0000 0.0000 1
Ni1 Ni 0.0000 0.0000 0.2430 1
P1 P 0.0000 0.0000 0.5000 1
# Energy relative to the elements   -0.024 eV per atom
# DOS at the Fermi energy   10.940 states/eV/cell

(12)
# PBE CoNi2P, relaxed
data_CoNi2P
_space_group_name_H-M_alt 'P 4/m m m'
_space_group_IT_number 123
_space_group_name_Hall '-P 4 2'
_cell_length_a 2.776
_cell_length_b 2.776
_cell_length_c 5.782
_cell_angle_alpha 90.00
_cell_angle_beta 90.00
_cell_angle_gamma 90.00
loop_
_atom_site_label
_atom_site_type_symbol
_atom_site_fract_x
_atom_site_fract_y
_atom_site_fract_z
_atom_site_occupancy
Co1 Co 0.000 0.000 0.000 1
Ni1 Ni 0.500 0.500 0.276 1
P1 P 0.000 0.000 0.500 1
# Energy relative to the elements   -0.028 eV per atom
# DOS at the Fermi energy   3.791 states/eV/cell